Record 1
Density functional theory data (PBE) for an optimized crystal structure of HfGa2Ge2.

a b c (Å): 7.164 7.164 3.588
angles (deg): 90.00 90.00 90.00
Space group P4/mbm (No. 127)
One atom of each set of equivalent atoms:
Hf (0.000, 0.000, 0.000)
Ga (0.127, 0.373, 0.000)
Ge (0.172, 0.672, 0.500)

Output
Energy above the most stable polymorph in this dataset in meV/atom: 60.3
ρ in g/cm³: 8.4
Final energy in eV/cell: -50.28
Magnetic moment in μB/atom: 0.000
Energy relative to the elements in eV/atom: 0.02
D(E_F) in states/eV per atom: 0.621



Record 2
Density functional theory data (PBE) for an optimized crystal structure of Hf2GaGe.

a b c (Å): 3.7380 3.7380 19.9908
angles (deg): 90.00 90.00 120.00
Space group R-3m (No. 166, hexagonal axes)
One atom of each set of equivalent atoms:
Hf (0.0000, 0.0000, 0.2466)
Ga (0.0000, 0.0000, 0.0000)
Ge (0.0000, 0.0000, 0.5000)

Output
ρ in g/cm³: 10.3
Final energy in eV/cell: -87.50
Magnetic moment in μB/atom: 0.000
Energy relative to the elements in eV/atom: -0.40
D(E_F) in states/eV per atom: 0.302



Record 3
Density functional theory data (PBE) for an optimized crystal structure of Hf7Ga5Ge.

a b c (Å): 5.394 9.550 9.940
angles (deg): 90.00 90.00 90.00
Space group Imm2 (No. 44)
One atom of each set of equivalent atoms:
Hf (0.000, 0.000, 0.000)
Hf (0.000, 0.000, 0.286)
Hf (0.000, 0.328, 0.116)
Hf (0.000, 0.342, 0.626)
Hf (0.000, 0.500, 0.357)
Ga (0.000, 0.500, 0.879)
Ga (0.250, 0.250, 0.375)
Ge (0.000, 0.000, 0.702)

Output
ρ in g/cm³: 10.8
Final energy in eV/cell: -184.70
Magnetic moment in μB/atom: 0.000
Energy relative to the elements in eV/atom: -0.23
D(E_F) in states/eV per atom: 0.774



Record 4
Density functional theory data (PBE) for an optimized crystal structure of Hf5Ga4Ge.

a b c (Å): 8.616 8.616 5.449
angles (deg): 90.00 90.00 90.00
Space group I4/m (No. 87)
One atom of each set of equivalent atoms:
Hf (0.000, 0.000, 0.000)
Hf (0.098, 0.705, 0.500)
Ga (0.098, 0.699, 0.000)
Ge (0.000, 0.000, 0.500)

Output
ρ in g/cm³: 10.2
Final energy in eV/cell: -137.89
Magnetic moment in μB/atom: 0.000
Energy relative to the elements in eV/atom: -0.25
D(E_F) in states/eV per atom: 0.567



Record 5
Density functional theory data (PBE) for an optimized crystal structure of HfGa2Ge2.

a b c (Å): 7.121 7.121 3.640
angles (deg): 90.00 90.00 90.00
Space group P4/mbm (No. 127)
One atom of each set of equivalent atoms:
Hf (0.000, 0.000, 0.000)
Ga (0.166, 0.334, 0.500)
Ge (0.135, 0.635, 0.000)

Output
Energy above the most stable polymorph in this dataset in meV/atom: 0.0
ρ in g/cm³: 8.3
Final energy in eV/cell: -50.88
Magnetic moment in μB/atom: 0.000
Energy relative to the elements in eV/atom: -0.04
D(E_F) in states/eV per atom: 0.520



Record 6
Density functional theory data (PBE) for an optimized crystal structure of HfGaGe.

a b c (Å): 3.836 3.836 7.564
angles (deg): 90.00 90.00 90.00
Space group P4/nmm (No. 129, origin choice 2)
One atom of each set of equivalent atoms:
Hf (0.250, 0.250, 0.184)
Ga (0.250, 0.750, 0.500)
Ge (0.250, 0.250, 0.823)

Output
ρ in g/cm³: 9.6
Final energy in eV/cell: -37.37
Magnetic moment in μB/atom: 0.000
Energy relative to the elements in eV/atom: -0.36
D(E_F) in states/eV per atom: 0.418



Record 7
Density functional theory data (PBE) for an optimized crystal structure of Hf2Ga3Ge.

a b c (Å): 12.220 3.767 10.145
angles (deg): 90.00 104.53 90.00
Space group C2/m (No. 12)
One atom of each set of equivalent atoms:
Hf (0.021, 0.000, 0.339)
Hf (0.236, 0.500, 0.362)
Ga (0.000, 0.500, 0.123)
Ga (0.165, 0.000, 0.144)
Ga (0.181, 0.000, 0.888)
Ge (0.106, 0.500, 0.549)

Output
ρ in g/cm³: 9.4
Final energy in eV/cell: -142.88
Magnetic moment in μB/atom: 0.000
Energy relative to the elements in eV/atom: -0.35
D(E_F) in states/eV per atom: 0.543



Record 8
Density functional theory data (PBE) for an optimized crystal structure of Hf4Ga5Ge.

a b c (Å): 9.135 10.321 4.053
angles (deg): 90.00 90.00 90.00
Space group Pmmn (No. 59, origin choice 2)
One atom of each set of equivalent atoms:
Hf (0.051, 0.250, 0.250)
Hf (0.250, 0.001, 0.750)
Ga (0.058, 0.574, 0.250)
Ga (0.250, 0.250, 0.750)
Ge (0.250, 0.750, 0.749)

Output
ρ in g/cm³: 9.9
Final energy in eV/cell: -125.45
Magnetic moment in μB/atom: 0.000
Energy relative to the elements in eV/atom: -0.32
D(E_F) in states/eV per atom: 0.324



Record 9
Density functional theory data (PBE) for an optimized crystal structure of HfGaGe.

a b c (Å): 3.762 3.762 8.083
angles (deg): 90.00 90.00 90.00
Space group I4mm (No. 107)
One atom of each set of equivalent atoms:
Hf (0.000, 0.000, 0.000)
Ga (0.000, 0.000, 0.342)
Ge (0.000, 0.000, 0.649)

Output
ρ in g/cm³: 9.3
Final energy in eV/cell: -35.96
Magnetic moment in μB/atom: 0.000
Energy relative to the elements in eV/atom: -0.13
D(E_F) in states/eV per atom: 0.468



Record 10
Density functional theory data (PBE) for an optimized crystal structure of HfGaGe2Mo.

a b c (Å): 4.874 4.874 5.048
angles (deg): 90.00 90.00 90.00
Space group P4/mmm (No. 123)
One atom of each set of equivalent atoms:
Hf (0.000, 0.000, 0.000)
Ga (0.500, 0.500, 0.000)
Ge (0.000, 0.500, 0.500)
Mo (0.000, 0.000, 0.500)

Output
ρ in g/cm³: 6.8
Final energy in eV/cell: -30.56
Magnetic moment in μB/atom: 0.000
Energy relative to the elements in eV/atom: 0.50
D(E_F) in states/eV per atom: 0.992



Record 11
Density functional theory data (PBE) for an optimized crystal structure of NaHfGa2Ge.

a b c (Å): 5.168 5.168 5.668
angles (deg): 90.00 90.00 90.00
Space group P4/mmm (No. 123)
One atom of each set of equivalent atoms:
Na (0.000, 0.000, 0.000)
Hf (0.000, 0.000, 0.500)
Ga (0.000, 0.500, 0.500)
Ge (0.500, 0.500, 0.000)

Output
Energy above the most stable polymorph in this dataset in meV/atom: 80.5
ρ in g/cm³: 4.5
Final energy in eV/cell: -17.12
Magnetic moment in μB/atom: 0.000
Energy relative to the elements in eV/atom: 0.96
D(E_F) in states/eV per atom: 0.653



Record 12
Density functional theory data (PBE) for an optimized crystal structure of NaHfGa2Ge.

a b c (Å): 4.767 4.767 4.852
angles (deg): 90.00 90.00 90.00
Space group P4/mmm (No. 123)
One atom of each set of equivalent atoms:
Na (0.000, 0.000, 0.000)
Hf (0.500, 0.500, 0.500)
Ga (0.000, 0.500, 0.000)
Ge (0.000, 0.000, 0.500)

Output
Energy above the most stable polymorph in this dataset in meV/atom: 0.0
ρ in g/cm³: 6.2
Final energy in eV/cell: -17.52
Magnetic moment in μB/atom: 0.000
Energy relative to the elements in eV/atom: 0.88
D(E_F) in states/eV per atom: 0.835



> Which value of D(E_F) does entry 6 give?

0.418 states/eV per atom



> final energy of number 1 (HfGa2Ge2)?

-50.28 eV/cell



> The lowest final energy belongs to which entry?

Hf7Ga5Ge